[1]
An optimized crystal structure of NbSn2O2. Source: Alexandria, functional PBE.

Output
Density of states at the Fermi level in states/eV/atom: 0.778
DFT total energy in eV/cell: -55.8
Symmetry: P4/mbm
Mass density in kg/m3: 6525

Geometry as POSCAR:
```
NbSn2O2
1.0
7.580 0.000 0.000
0.000 7.580 0.000
0.000 0.000 3.210
Nb Sn O
2 4 4
direct
0.000 0.000 0.000 Nb
0.500 0.500 0.000 Nb
0.148 0.352 0.000 Sn
0.352 0.852 0.000 Sn
0.648 0.148 0.000 Sn
0.852 0.648 0.000 Sn
0.218 0.718 0.500 O
0.282 0.218 0.500 O
0.718 0.782 0.500 O
0.782 0.282 0.500 O
```



[2]
An optimized crystal structure of La3CeSn2S. Source: Alexandria, functional PBE.

Output
Density of states at the Fermi level in states/eV/atom: 1.210
DFT total energy in eV/cell: -78.6
Symmetry: Immm
Mass density in kg/m3: 5830

Geometry as POSCAR:
```
La3CeSn2S
1.0
5.258 0.000 0.000
0.000 5.337 0.000
0.000 0.000 16.773
La Ce Sn S
6 2 4 2
direct
0.000 0.000 0.000 La
0.000 0.500 0.172 La
0.000 0.500 0.828 La
0.500 0.000 0.328 La
0.500 0.000 0.672 La
0.500 0.500 0.500 La
0.000 0.000 0.500 Ce
0.500 0.500 0.000 Ce
0.000 0.500 0.368 Sn
0.000 0.500 0.632 Sn
0.500 0.000 0.132 Sn
0.500 0.000 0.868 Sn
0.000 0.500 0.000 S
0.500 0.000 0.500 S
```